1.
PBE HoScZnTc, optimized geometry; crystal system = cubic; size of the total moment = 0.000 μB per formula unit; Fermi-level density of states = 0.80 states/eV per atom; calculated formation energy = -0.206 eV/atom
1.0
-2.791 3.274 2.075
-4.557 0.458 -1.356
-3.513 -1.369 2.932
Zn Ho Sc Tc
1 1 1 1
Direct
0.000 0.000 0.000 Zn
0.750 0.750 0.750 Ho
0.250 0.250 0.250 Sc
0.500 0.500 0.500 Tc


2.
PBE BeFeMo, optimized geometry; crystal system = trigonal; size of the total moment = 0.881 μB per formula unit; Fermi-level density of states = 0.68 states/eV per atom; energy above the most stable polymorph in this dataset = 189 meV per atom; calculated formation energy = 0.021 eV/atom
1.0
3.977 0.000 0.000
-1.988 3.444 0.000
0.000 0.000 2.584
Fe Mo Be
1 1 1
Direct
0.667 0.333 0.288 Fe
0.333 0.667 0.628 Mo
0.000 0.000 0.084 Be


3.
PBE CdBRh3, optimized geometry; crystal system = monoclinic; size of the total moment = 0.000 μB per formula unit; Fermi-level density of states = 1.17 states/eV per atom; energy above the most stable polymorph in this dataset = 76 meV per atom; calculated formation energy = -0.134 eV/atom
1.0
-6.819 -2.633 -1.493
2.008 -2.555 -4.663
3.975 -1.481 2.523
Cd Rh B
2 6 2
Direct
0.769 0.250 0.632 Cd
0.231 0.750 0.368 Cd
0.294 0.250 0.426 Rh
0.706 0.750 0.574 Rh
0.264 0.497 0.901 Rh
0.736 0.503 0.099 Rh
0.264 0.003 0.901 Rh
0.736 0.997 0.099 Rh
0.974 0.750 0.569 B
0.026 0.250 0.431 B